[1]
# In2SnTeH (GGA-PBE, relaxed)
data_In2SnTeH
_chemical_formula_sum 'In2 Sn1 Te1 H1'
_cell_length_a 5.720
_cell_length_b 5.720
_cell_length_c 3.967
_cell_angle_alpha 90.00
_cell_angle_beta 90.00
_cell_angle_gamma 90.00
_symmetry_space_group_name_H-M 'P 1'
_symmetry_Int_Tables_number 1
loop_
_symmetry_equiv_pos_as_xyz
'x,y,z'
loop_
_atom_site_label
_atom_site_type_symbol
_atom_site_fract_x
_atom_site_fract_y
_atom_site_fract_z
H1 H 0.000 0.000 0.500
Te1 Te 0.500 0.500 0.500
Sn1 Sn 0.000 0.000 0.000
In1 In 0.000 0.500 0.000
In2 In 0.500 0.000 0.000
# Crystal system   tetragonal
# E   -0.2272 Ry/atom

[2]
# LiCeGdFe (GGA-PBE, relaxed)
data_LiCeGdFe
_chemical_formula_sum 'Li1 Ce1 Gd1 Fe1'
_cell_length_a 4.913
_cell_length_b 4.913
_cell_length_c 4.913
_cell_angle_alpha 60.00
_cell_angle_beta 60.00
_cell_angle_gamma 60.00
_symmetry_space_group_name_H-M 'P 1'
_symmetry_Int_Tables_number 1
loop_
_symmetry_equiv_pos_as_xyz
'x,y,z'
loop_
_atom_site_label
_atom_site_type_symbol
_atom_site_fract_x
_atom_site_fract_y
_atom_site_fract_z
Gd1 Gd 0.250 0.250 0.250
Fe1 Fe 0.500 0.500 0.500
Ce1 Ce 0.750 0.750 0.750
Li1 Li 0.000 0.000 0.000
# Crystal system   cubic
# Formation energy   0.141 eV/atom

[3]
# CaTb2ErS4 (GGA-PBE, relaxed)
data_CaTb2ErS4
_chemical_formula_sum 'Ca1 Tb2 Er1 S4'
_cell_length_a 3.912
_cell_length_b 6.801
_cell_length_c 6.819
_cell_angle_alpha 109.15
_cell_angle_beta 90.00
_cell_angle_gamma 90.00
_symmetry_space_group_name_H-M 'P 1'
_symmetry_Int_Tables_number 1
loop_
_symmetry_equiv_pos_as_xyz
'x,y,z'
loop_
_atom_site_label
_atom_site_type_symbol
_atom_site_fract_x
_atom_site_fract_y
_atom_site_fract_z
Ca1 Ca 0.000 0.000 0.000
Tb1 Tb 0.500 0.000 0.500
Tb2 Tb 0.000 0.500 0.500
Er1 Er 0.500 0.500 0.000
S1 S 0.500 0.253 0.249
S2 S 0.500 0.747 0.751
S3 S 0.000 0.254 0.754
S4 S 0.000 0.746 0.246
# ΔE_f (raw)   -2.017 eV/atom
# Crystal system   monoclinic

[4]
# Li2In3Bi2 (GGA-PBE, relaxed)
data_Li2In3Bi2
_chemical_formula_sum 'Li2 In3 Bi2'
_cell_length_a 3.385
_cell_length_b 4.421
_cell_length_c 12.483
_cell_angle_alpha 90.00
_cell_angle_beta 97.79
_cell_angle_gamma 90.00
_symmetry_space_group_name_H-M 'P 1'
_symmetry_Int_Tables_number 1
loop_
_symmetry_equiv_pos_as_xyz
'x,y,z'
loop_
_atom_site_label
_atom_site_type_symbol
_atom_site_fract_x
_atom_site_fract_y
_atom_site_fract_z
Li1 Li 0.133 0.000 0.265
Li2 Li 0.867 0.000 0.735
In1 In 0.435 0.500 0.869
In2 In 0.565 0.500 0.131
In3 In 0.000 0.000 0.000
Bi1 Bi 0.312 0.500 0.624
Bi2 Bi 0.688 0.500 0.376
# Crystal system   orthorhombic
# Formation energy   -0.132 eV/atom

[5]
# TlIn2HPt (GGA-PBE, relaxed)
data_TlIn2HPt
_chemical_formula_sum 'Tl1 In2 H1 Pt1'
_cell_length_a 5.441
_cell_length_b 5.441
_cell_length_c 3.597
_cell_angle_alpha 90.00
_cell_angle_beta 90.00
_cell_angle_gamma 90.00
_symmetry_space_group_name_H-M 'P 1'
_symmetry_Int_Tables_number 1
loop_
_symmetry_equiv_pos_as_xyz
'x,y,z'
loop_
_atom_site_label
_atom_site_type_symbol
_atom_site_fract_x
_atom_site_fract_y
_atom_site_fract_z
H1 H 0.000 0.000 0.500
Tl1 Tl 0.500 0.500 0.500
Pt1 Pt 0.000 0.000 0.000
In1 In 0.000 0.500 0.000
In2 In 0.500 0.000 0.000
# Crystal system   tetragonal
# E   -0.2555 Ry/atom

[6]
# Er4MgCd2Ag (GGA-PBE, relaxed)
data_Er4MgCd2Ag
_chemical_formula_sum 'Er4 Mg1 Cd2 Ag1'
_cell_length_a 5.224
_cell_length_b 5.224
_cell_length_c 9.036
_cell_angle_alpha 73.20
_cell_angle_beta 73.20
_cell_angle_gamma 60.00
_symmetry_space_group_name_H-M 'P 1'
_symmetry_Int_Tables_number 1
loop_
_symmetry_equiv_pos_as_xyz
'x,y,z'
loop_
_atom_site_label
_atom_site_type_symbol
_atom_site_fract_x
_atom_site_fract_y
_atom_site_fract_z
Er1 Er 0.380 0.380 0.861
Er2 Er 0.872 0.872 0.385
Er3 Er 0.128 0.128 0.615
Er4 Er 0.620 0.620 0.139
Mg1 Mg 0.000 0.000 0.000
Cd1 Cd 0.744 0.744 0.768
Cd2 Cd 0.256 0.256 0.232
Ag1 Ag 0.500 0.500 0.500
# Crystal system   trigonal
# Formation energy   -0.264 eV/atom

Repeat the third record exactly.
# CaTb2ErS4 (GGA-PBE, relaxed)
data_CaTb2ErS4
_chemical_formula_sum 'Ca1 Tb2 Er1 S4'
_cell_length_a 3.912
_cell_length_b 6.801
_cell_length_c 6.819
_cell_angle_alpha 109.15
_cell_angle_beta 90.00
_cell_angle_gamma 90.00
_symmetry_space_group_name_H-M 'P 1'
_symmetry_Int_Tables_number 1
loop_
_symmetry_equiv_pos_as_xyz
'x,y,z'
loop_
_atom_site_label
_atom_site_type_symbol
_atom_site_fract_x
_atom_site_fract_y
_atom_site_fract_z
Ca1 Ca 0.000 0.000 0.000
Tb1 Tb 0.500 0.000 0.500
Tb2 Tb 0.000 0.500 0.500
Er1 Er 0.500 0.500 0.000
S1 S 0.500 0.253 0.249
S2 S 0.500 0.747 0.751
S3 S 0.000 0.254 0.754
S4 S 0.000 0.746 0.246
# ΔE_f (raw)   -2.017 eV/atom
# Crystal system   monoclinic